Ti2TlHg | PBE | optimized geometry

E_form: 0.060 eV/atom

Cell lengths 4.3145, 4.3145, 4.1509 Å; angles 90.00, 90.00, 90.00 degrees
Space group P4/mmm (No. 123)
One atom of each set of equivalent atoms:
Ti  0.0000  0.5000  0.0000 (multiplicity 2)
Tl  0.0000  0.0000  0.5000 (multiplicity 1)
Hg  0.5000  0.5000  0.5000 (multiplicity 1)

---

CuAs2W | PBE | optimized geometry

E_form: 0.405 eV/atom
excess energy over the best structure of this formula in the dataset: 105 kJ/mol of formula units

Cell lengths 3.3016, 4.1813, 9.0784 Å; angles 90.00, 90.00, 90.00 degrees
Space group Imm2 (No. 44)
One atom of each set of equivalent atoms:
Cu  0.0000  0.0000  0.0000 (multiplicity 2)
As  0.0000  0.0000  0.4981 (multiplicity 2)
As  0.0000  0.5000  0.2761 (multiplicity 2)
W  0.0000  0.5000  0.7595 (multiplicity 2)

---

ScRe3F | PBE | optimized geometry

excess energy over the best structure of this formula in the dataset: 0 kJ/mol of formula units
ΔE_f (raw): 1.010 eV/atom

Cell lengths 4.2788, 4.2788, 4.2788 Å; angles 90.00, 90.00, 90.00 degrees
Space group Pm-3m (No. 221)
One atom of each set of equivalent atoms:
Sc  0.0000  0.0000  0.0000 (multiplicity 1)
Re  0.0000  0.5000  0.5000 (multiplicity 3)
F  0.5000  0.5000  0.5000 (multiplicity 1)

---

LaPb3C | PBE | optimized geometry

E_form: 0.629 eV/atom

Cell lengths 5.1285, 5.1285, 5.1285 Å; angles 90.00, 90.00, 90.00 degrees
Space group Pm-3m (No. 221)
One atom of each set of equivalent atoms:
La  0.0000  0.0000  0.0000 (multiplicity 1)
Pb  0.0000  0.5000  0.5000 (multiplicity 3)
C  0.5000  0.5000  0.5000 (multiplicity 1)

---

no.,calculated total energy (eV/atom)
1,-4.55
2,-6.18
3,-8.10
4,-4.43